(1)
# DySn2Sb2Pd7 PBE relaxed
data_DySn2Sb2Pd7
_space_group_name_H-M_alt 'C 1 2/m 1'
_space_group_IT_number 12
_cell_length_a 5.6886
_cell_length_b 5.7287
_cell_length_c 15.4266
_cell_angle_alpha 90.00
_cell_angle_beta 93.80
_cell_angle_gamma 90.00
loop_
_space_group_symop_operation_xyz
'x,y,z'
'-x,-y,-z'
'-x,y,-z'
'x,-y,z'
'x+1/2,y+1/2,z'
'-x+1/2,-y+1/2,-z'
'-x+1/2,y+1/2,-z'
'x+1/2,-y+1/2,z'
loop_
_atom_site_label
_atom_site_type_symbol
_atom_site_fract_x
_atom_site_fract_y
_atom_site_fract_z
Dy1 Dy 0.0000 0.0000 0.0000
Sn1 Sn 0.1354 0.0000 0.4138
Sb1 Sb 0.0468 0.5000 0.2496
Pd1 Pd 0.0000 0.5000 0.0000
Pd2 Pd 0.1240 0.5000 0.4211
Pd3 Pd 0.2246 0.2504 0.8614
# * formation energy from raw total energies: -0.5045 eV/atom

(2)
# Sr2DySb3Pd4 PBE relaxed
data_Sr2DySb3Pd4
_space_group_name_H-M_alt 'P -4 m 2'
_space_group_IT_number 115
_cell_length_a 4.5779
_cell_length_b 4.5779
_cell_length_c 11.6044
_cell_angle_alpha 90.00
_cell_angle_beta 90.00
_cell_angle_gamma 90.00
loop_
_space_group_symop_operation_xyz
'x,y,z'
'y,-x,-z'
'-x,-y,z'
'-y,x,-z'
'-x,y,z'
'-y,-x,-z'
'x,-y,z'
'y,x,-z'
loop_
_atom_site_label
_atom_site_type_symbol
_atom_site_fract_x
_atom_site_fract_y
_atom_site_fract_z
Sr1 Sr 0.0000 0.5000 0.2245
Dy1 Dy 0.0000 0.0000 0.5000
Sb1 Sb 0.0000 0.5000 0.8733
Sb2 Sb 0.5000 0.5000 0.5000
Pd1 Pd 0.0000 0.0000 0.0000
Pd2 Pd 0.0000 0.5000 0.6443
Pd3 Pd 0.5000 0.5000 0.0000
# * formation energy from raw total energies: -0.8609 eV/atom

(3)
# Sr2DySb4Pd3 PBE relaxed
data_Sr2DySb4Pd3
_space_group_name_H-M_alt 'P -4 m 2'
_space_group_IT_number 115
_cell_length_a 4.6121
_cell_length_b 4.6121
_cell_length_c 12.1722
_cell_angle_alpha 90.00
_cell_angle_beta 90.00
_cell_angle_gamma 90.00
loop_
_space_group_symop_operation_xyz
'x,y,z'
'y,-x,-z'
'-x,-y,z'
'-y,x,-z'
'-x,y,z'
'-y,-x,-z'
'x,-y,z'
'y,x,-z'
loop_
_atom_site_label
_atom_site_type_symbol
_atom_site_fract_x
_atom_site_fract_y
_atom_site_fract_z
Sr1 Sr 0.0000 0.5000 0.2346
Dy1 Dy 0.0000 0.0000 0.5000
Sb1 Sb 0.0000 0.0000 0.0000
Sb2 Sb 0.0000 0.5000 0.6533
Sb3 Sb 0.5000 0.5000 0.0000
Pd1 Pd 0.0000 0.5000 0.8762
Pd2 Pd 0.5000 0.5000 0.5000
# * formation energy from raw total energies: -0.8376 eV/atom

(4)
# Dy3ScPd4 PBE relaxed
data_Dy3ScPd4
_space_group_name_H-M_alt 'P m m m'
_space_group_IT_number 47
_cell_length_a 3.3899
_cell_length_b 4.9370
_cell_length_c 9.9009
_cell_angle_alpha 90.00
_cell_angle_beta 90.00
_cell_angle_gamma 90.00
loop_
_space_group_symop_operation_xyz
'x,y,z'
'-x,-y,-z'
'-x,-y,z'
'x,y,-z'
'x,-y,-z'
'-x,y,z'
'-x,y,-z'
'x,-y,z'
loop_
_atom_site_label
_atom_site_type_symbol
_atom_site_fract_x
_atom_site_fract_y
_atom_site_fract_z
Dy1 Dy 0.0000 0.0000 0.0000
Dy2 Dy 0.0000 0.5000 0.2548
Sc1 Sc 0.0000 0.0000 0.5000
Pd1 Pd 0.5000 0.0000 0.2659
Pd2 Pd 0.5000 0.5000 0.0000
Pd3 Pd 0.5000 0.5000 0.5000
# * formation energy from the elements: -7.04 eV/f.u.

(5)
# DySc2Pd8 PBE relaxed
data_DySc2Pd8
_space_group_name_H-M_alt 'C 1 2/m 1'
_space_group_IT_number 12
_cell_length_a 14.5761
_cell_length_b 4.0996
_cell_length_c 6.5998
_cell_angle_alpha 90.00
_cell_angle_beta 107.88
_cell_angle_gamma 90.00
loop_
_space_group_symop_operation_xyz
'x,y,z'
'-x,-y,-z'
'-x,y,-z'
'x,-y,z'
'x+1/2,y+1/2,z'
'-x+1/2,-y+1/2,-z'
'-x+1/2,y+1/2,-z'
'x+1/2,-y+1/2,z'
loop_
_atom_site_label
_atom_site_type_symbol
_atom_site_fract_x
_atom_site_fract_y
_atom_site_fract_z
Dy1 Dy 0.0000 0.0000 0.0000
Sc1 Sc 0.2203 0.5000 0.6659
Pd1 Pd 0.0420 0.5000 0.7171
Pd2 Pd 0.0969 0.0000 0.4599
Pd3 Pd 0.1456 0.5000 0.1966
Pd4 Pd 0.1807 0.0000 0.9127
# * formation energy from the elements: -8.56 eV/f.u.

(6)
# Dy3ScPd6 PBE relaxed
data_Dy3ScPd6
_space_group_name_H-M_alt 'P 1 21/m 1'
_space_group_IT_number 11
_cell_length_a 8.0598
_cell_length_b 4.9264
_cell_length_c 10.4774
_cell_angle_alpha 90.00
_cell_angle_beta 111.01
_cell_angle_gamma 90.00
loop_
_space_group_symop_operation_xyz
'x,y,z'
'-x,-y,-z'
'-x,y+1/2,-z'
'x,-y+1/2,z'
loop_
_atom_site_label
_atom_site_type_symbol
_atom_site_fract_x
_atom_site_fract_y
_atom_site_fract_z
Dy1 Dy 0.0196 0.2500 0.3784
Dy2 Dy 0.1450 0.7500 0.2054
Dy3 Dy 0.2989 0.2500 0.9925
Sc1 Sc 0.4432 0.2500 0.5830
Pd1 Pd 0.0424 0.7500 0.9173
Pd2 Pd 0.1688 0.2500 0.6820
Pd3 Pd 0.2576 0.7500 0.5070
Pd4 Pd 0.3430 0.7500 0.8163
Pd5 Pd 0.3708 0.2500 0.2980
Pd6 Pd 0.4467 0.7500 0.1393
# * formation energy from the elements: -8.43 eV/f.u.

(7)
# Dy2ScPd2 PBE relaxed
data_Dy2ScPd2
_space_group_name_H-M_alt 'P 4/m b m'
_space_group_IT_number 127
_space_group_name_Hall '-P 4 2ab'
_cell_length_a 7.5839
_cell_length_b 7.5839
_cell_length_c 3.9623
_cell_angle_alpha 90.00
_cell_angle_beta 90.00
_cell_angle_gamma 90.00
loop_
_atom_site_label
_atom_site_type_symbol
_atom_site_fract_x
_atom_site_fract_y
_atom_site_fract_z
Dy1 Dy 0.1697 0.3303 0.0000
Sc1 Sc 0.0000 0.0000 0.5000
Pd1 Pd 0.1335 0.6335 0.5000
# * formation energy from the elements: -3.67 eV/f.u.

(8)
# DySc2Pd PBE relaxed
data_DySc2Pd
_space_group_name_H-M_alt 'R 3 m'
_space_group_IT_number 160
_space_group_name_Hall 'R 3 -2"'
_cell_length_a 3.4551
_cell_length_b 3.4551
_cell_length_c 28.0107
_cell_angle_alpha 90.00
_cell_angle_beta 90.00
_cell_angle_gamma 120.00
loop_
_atom_site_label
_atom_site_type_symbol
_atom_site_fract_x
_atom_site_fract_y
_atom_site_fract_z
Dy1 Dy 0.0000 0.0000 0.0000
Sc1 Sc 0.0000 0.0000 0.5649
Sc2 Sc 0.0000 0.0000 0.7645
Pd1 Pd 0.0000 0.0000 0.1647
# * formation energy from the elements: -1.01 eV/f.u.